No. 1
! Ac2BePt (PBE, optimized geometry); values from VASP
&SYSTEM
  ibrav = 0, nat = 4, ntyp = 3
/
ATOMIC_SPECIES
Ac 227.00 Ac.upf
Be 9.01 Be.upf
Pt 195.08 Pt.upf
CELL_PARAMETERS angstrom
5.339 0.000 0.000
0.000 5.339 0.000
0.000 0.000 3.783
ATOMIC_POSITIONS crystal
Ac 0.000 0.500 0.000
Ac 0.500 0.000 0.000
Be 0.000 0.000 0.500
Pt 0.500 0.500 0.500
! Calculated density, g/cm3: 10.1
! Symmetry: No. 123
! Energy above the lowest structure with this stoichiometry, meV/atom: 0.0
! Formation energy from the elements, meV/atom: -328

---

No. 2
! CdSn5Pd3 (PBE, optimized geometry); values from VASP
&SYSTEM
  ibrav = 0, nat = 18, ntyp = 3
/
ATOMIC_SPECIES
Cd 112.41 Cd.upf
Sn 118.71 Sn.upf
Pd 106.42 Pd.upf
CELL_PARAMETERS angstrom
5.801 -4.592 0.000
5.801 4.592 0.000
-5.649 0.000 8.454
ATOMIC_POSITIONS crystal
Cd 0.078 0.078 0.301
Cd 0.922 0.922 0.699
Sn 0.042 0.596 0.392
Sn 0.238 0.238 0.010
Sn 0.288 0.712 0.000
Sn 0.404 0.958 0.608
Sn 0.432 0.432 0.639
Sn 0.568 0.568 0.361
Sn 0.596 0.042 0.392
Sn 0.712 0.288 0.000
Sn 0.762 0.762 0.990
Sn 0.958 0.404 0.608
Pd 0.000 0.000 0.000
Pd 0.000 0.000 0.500
Pd 0.319 0.319 0.811
Pd 0.321 0.321 0.311
Pd 0.679 0.679 0.689
Pd 0.681 0.681 0.189
! Calculated density, g/cm3: 7.6
! Symmetry: No. 12
! Formation energy from the elements, meV/atom: -224

---

No. 3
! VCdPd (PBE, optimized geometry); values from VASP
&SYSTEM
  ibrav = 0, nat = 3, ntyp = 3
/
ATOMIC_SPECIES
V 50.94 V.upf
Cd 112.41 Cd.upf
Pd 106.42 Pd.upf
CELL_PARAMETERS angstrom
-1.415 1.415 6.082
1.415 -1.415 6.082
1.415 1.415 -6.082
ATOMIC_POSITIONS crystal
V 0.000 0.000 0.000
Cd 0.678 0.678 0.000
Pd 0.356 0.356 0.000
! Calculated density, g/cm3: 9.2
! Symmetry: No. 107
! Energy above the lowest structure with this stoichiometry, meV/atom: 0.0
! Formation energy from the elements, meV/atom: -22

---

No. 4
! GdNpCl2 (PBE, optimized geometry); values from VASP
&SYSTEM
  ibrav = 0, nat = 4, ntyp = 3
/
ATOMIC_SPECIES
Gd 157.25 Gd.upf
Np 237.00 Np.upf
Cl 35.45 Cl.upf
CELL_PARAMETERS angstrom
1.760 1.016 9.701
-1.760 1.016 9.701
0.000 -2.033 9.701
ATOMIC_POSITIONS crystal
Gd 0.000 0.000 0.000
Np 0.500 0.500 0.500
Cl 0.095 0.095 0.095
Cl 0.905 0.905 0.905
! E_form (uncorrected), meV/atom: -912
! Calculated density, g/cm3: 7.4
! Symmetry: No. 166

---

No. 5
! Tb6Pm5Tl (PBE, optimized geometry); values from VASP
&SYSTEM
  ibrav = 0, nat = 12, ntyp = 3
/
ATOMIC_SPECIES
Tb 158.93 Tb.upf
Pm 145.00 Pm.upf
Tl 204.38 Tl.upf
CELL_PARAMETERS angstrom
-2.503 5.059 7.585
2.503 -5.059 7.585
2.503 5.059 -7.585
ATOMIC_POSITIONS crystal
Tb 0.081 0.335 0.746
Tb 0.244 0.000 0.244
Tb 0.411 0.665 0.746
Tb 0.589 0.335 0.254
Tb 0.756 0.000 0.756
Tb 0.919 0.665 0.254
Pm 0.168 0.168 0.000
Pm 0.337 0.837 0.500
Pm 0.500 0.500 0.000
Pm 0.663 0.163 0.500
Pm 0.832 0.832 0.000
Tl 0.000 0.500 0.500
! Calculated density, g/cm3: 8.1
! Symmetry: No. 71
! Formation energy from the elements, meV/atom: -30

---

No. 6
! HfPa2Si (PBE, optimized geometry); values from VASP
&SYSTEM
  ibrav = 0, nat = 4, ntyp = 3
/
ATOMIC_SPECIES
Hf 178.49 Hf.upf
Pa 231.04 Pa.upf
Si 28.09 Si.upf
CELL_PARAMETERS angstrom
4.247 0.000 0.000
0.000 4.247 0.000
0.000 0.000 4.692
ATOMIC_POSITIONS crystal
Hf 0.000 0.000 0.000
Pa 0.000 0.500 0.500
Pa 0.500 0.000 0.500
Si 0.500 0.500 0.000
! E_form (uncorrected), meV/atom: -261
! Calculated density, g/cm3: 13.1
! Symmetry: No. 123
! Energy above the lowest structure with this stoichiometry, meV/atom: 0.0

---

No. 7
! Tm2SiS6 (PBE, optimized geometry); values from VASP
&SYSTEM
  ibrav = 0, nat = 18, ntyp = 3
/
ATOMIC_SPECIES
Tm 168.93 Tm.upf
Si 28.09 Si.upf
S 32.06 S.upf
CELL_PARAMETERS angstrom
5.954 0.000 0.000
0.000 5.954 0.000
0.000 0.000 11.602
ATOMIC_POSITIONS crystal
Tm 0.000 0.000 0.167
Tm 0.000 0.000 0.833
Tm 0.500 0.500 0.333
Tm 0.500 0.500 0.667
Si 0.000 0.000 0.500
Si 0.500 0.500 0.000
S 0.184 0.184 0.355
S 0.184 0.184 0.645
S 0.225 0.225 0.000
S 0.275 0.725 0.500
S 0.316 0.684 0.145
S 0.316 0.684 0.855
S 0.684 0.316 0.145
S 0.684 0.316 0.855
S 0.725 0.275 0.500
S 0.775 0.775 0.000
S 0.816 0.816 0.355
S 0.816 0.816 0.645
! E_form (uncorrected), meV/atom: -994
! Calculated density, g/cm3: 4.5
! Symmetry: No. 136

---

No. 8
! Tb3Se2NO (PBE, optimized geometry); values from VASP
&SYSTEM
  ibrav = 0, nat = 14, ntyp = 4
/
ATOMIC_SPECIES
Tb 158.93 Tb.upf
Se 78.96 Se.upf
N 14.01 N.upf
O 16.00 O.upf
CELL_PARAMETERS angstrom
7.821 -1.964 0.000
7.821 1.964 0.000
-1.401 0.000 9.714
ATOMIC_POSITIONS crystal
Tb 0.048 0.048 0.259
Tb 0.194 0.194 0.675
Tb 0.393 0.393 0.056
Tb 0.607 0.607 0.944
Tb 0.806 0.806 0.325
Tb 0.952 0.952 0.741
Se 0.214 0.214 0.149
Se 0.370 0.370 0.529
Se 0.630 0.630 0.471
Se 0.786 0.786 0.851
N 0.095 0.095 0.811
N 0.905 0.905 0.189
O 0.462 0.462 0.862
O 0.538 0.538 0.138
! E_form (uncorrected), meV/atom: -2286
! Calculated density, g/cm3: 7.4
! Symmetry: No. 12

---

No. 9
! UI5Cl (PBE, optimized geometry); values from VASP
&SYSTEM
  ibrav = 0, nat = 14, ntyp = 3
/
ATOMIC_SPECIES
U 238.03 U.upf
I 126.90 I.upf
Cl 35.45 Cl.upf
CELL_PARAMETERS angstrom
8.661 0.000 0.000
4.034 7.756 0.000
0.383 4.252 10.651
ATOMIC_POSITIONS crystal
U 0.000 0.000 0.000
U 0.000 0.500 0.500
I 0.121 0.129 0.744
I 0.199 0.613 0.982
I 0.314 0.958 0.121
I 0.327 0.426 0.258
I 0.415 0.272 0.528
I 0.585 0.728 0.472
I 0.673 0.574 0.742
I 0.686 0.042 0.879
I 0.801 0.387 0.018
I 0.879 0.871 0.256
Cl 0.058 0.673 0.612
Cl 0.942 0.327 0.388
! E_form (uncorrected), meV/atom: -691
! Calculated density, g/cm3: 4.2
! Symmetry: No. 2

---

No. 10
! TmTlSn2 (PBE, optimized geometry); values from VASP
&SYSTEM
  ibrav = 0, nat = 4, ntyp = 3
/
ATOMIC_SPECIES
Tm 168.93 Tm.upf
Tl 204.38 Tl.upf
Sn 118.71 Sn.upf
CELL_PARAMETERS angstrom
4.660 0.000 0.000
0.000 4.660 0.000
0.000 0.000 4.818
ATOMIC_POSITIONS crystal
Tm 0.000 0.000 0.000
Tl 0.500 0.500 0.000
Sn 0.000 0.500 0.500
Sn 0.500 0.000 0.500
! Calculated density, g/cm3: 9.7
! Symmetry: No. 123
! Energy above the lowest structure with this stoichiometry, meV/atom: 0.0
! Formation energy from the elements, meV/atom: -313

---

No. 11
! InReBr2 (PBE, optimized geometry); values from VASP
&SYSTEM
  ibrav = 0, nat = 4, ntyp = 3
/
ATOMIC_SPECIES
In 114.82 In.upf
Re 186.21 Re.upf
Br 79.90 Br.upf
CELL_PARAMETERS angstrom
1.595 0.921 10.387
-1.595 0.921 10.387
0.000 -1.841 10.387
ATOMIC_POSITIONS crystal
In 0.000 0.000 0.000
Re 0.500 0.500 0.500
Br 0.423 0.423 0.423
Br 0.577 0.577 0.577
! E_form (uncorrected), meV/atom: 501
! Calculated density, g/cm3: 8.4
! Symmetry: No. 166
! Energy above the lowest structure with this stoichiometry, meV/atom: 331.7

---

No. 12
! Y2CdIn (PBE, optimized geometry); values from VASP
&SYSTEM
  ibrav = 0, nat = 4, ntyp = 3
/
ATOMIC_SPECIES
Y 88.91 Y.upf
Cd 112.41 Cd.upf
In 114.82 In.upf
CELL_PARAMETERS angstrom
0.000 3.791 3.791
3.791 0.000 3.791
3.791 3.791 0.000
ATOMIC_POSITIONS crystal
Y 0.000 0.000 0.000
Y 0.250 0.250 0.250
Cd 0.750 0.750 0.750
In 0.500 0.500 0.500
! Calculated density, g/cm3: 6.2
! Symmetry: No. 216
! Formation energy from the elements, meV/atom: 5

---

No. 13
! BaAs3Os (PBE, optimized geometry); values from VASP
&SYSTEM
  ibrav = 0, nat = 5, ntyp = 3
/
ATOMIC_SPECIES
Ba 137.33 Ba.upf
As 74.92 As.upf
Os 190.23 Os.upf
CELL_PARAMETERS angstrom
4.981 0.000 0.000
0.000 4.981 0.000
0.000 0.000 4.981
ATOMIC_POSITIONS crystal
Ba 0.000 0.000 0.000
As 0.000 0.500 0.500
As 0.500 0.000 0.500
As 0.500 0.500 0.000
Os 0.500 0.500 0.500
! Calculated density, g/cm3: 7.4
! Symmetry: No. 221
! Energy above the lowest structure with this stoichiometry, meV/atom: 0.0
! Formation energy from the elements, meV/atom: 25

---

No. 14
! SiNiGe2Se (PBE, optimized geometry); values from VASP
&SYSTEM
  ibrav = 0, nat = 5, ntyp = 4
/
ATOMIC_SPECIES
Si 28.09 Si.upf
Ni 58.69 Ni.upf
Ge 72.64 Ge.upf
Se 78.96 Se.upf
CELL_PARAMETERS angstrom
5.115 0.000 0.000
0.000 5.115 0.000
0.000 0.000 4.678
ATOMIC_POSITIONS crystal
Si 0.000 0.000 0.000
Ni 0.500 0.500 0.000
Ge 0.000 0.500 0.500
Ge 0.500 0.000 0.500
Se 0.000 0.000 0.500
! E_form (uncorrected), meV/atom: 1221
! Calculated density, g/cm3: 4.2
! Symmetry: No. 123

---

No. 15
! LaAsIr2 (PBE, optimized geometry); values from VASP
&SYSTEM
  ibrav = 0, nat = 4, ntyp = 3
/
ATOMIC_SPECIES
La 138.91 La.upf
As 74.92 As.upf
Ir 192.22 Ir.upf
CELL_PARAMETERS angstrom
1.539 0.888 9.027
-1.539 0.888 9.027
0.000 -1.777 9.027
ATOMIC_POSITIONS crystal
La 0.000 0.000 0.000
As 0.500 0.500 0.500
Ir 0.237 0.237 0.237
Ir 0.763 0.763 0.763
! Calculated density, g/cm3: 13.4
! Symmetry: No. 166
! Formation energy from the elements, meV/atom: 212

---

No. 16
! Tm2TcPb (PBE, optimized geometry); values from VASP
&SYSTEM
  ibrav = 0, nat = 4, ntyp = 3
/
ATOMIC_SPECIES
Tm 168.93 Tm.upf
Tc 98.00 Tc.upf
Pb 207.20 Pb.upf
CELL_PARAMETERS angstrom
3.547 0.000 0.000
0.000 3.547 0.000
0.000 0.000 7.455
ATOMIC_POSITIONS crystal
Tm 0.000 0.000 0.210
Tm 0.000 0.000 0.790
Tc 0.500 0.500 0.000
Pb 0.500 0.500 0.500
! Calculated density, g/cm3: 11.4
! Symmetry: No. 123
! Energy above the lowest structure with this stoichiometry, meV/atom: 0.0
! Formation energy from the elements, meV/atom: -264

---

No. 17
! La2Ag3 (PBE, optimized geometry); values from VASP
&SYSTEM
  ibrav = 0, nat = 5, ntyp = 2
/
ATOMIC_SPECIES
La 138.91 La.upf
Ag 107.87 Ag.upf
CELL_PARAMETERS angstrom
5.413 -2.003 0.000
5.413 2.003 0.000
-5.317 0.000 5.924
ATOMIC_POSITIONS crystal
La 0.191 0.191 0.269
La 0.809 0.809 0.731
Ag 0.000 0.000 0.500
Ag 0.406 0.406 0.137
Ag 0.594 0.594 0.863
! Calculated density, g/cm3: 7.8
! Symmetry: No. 12
! Energy above the lowest structure with this stoichiometry, meV/atom: 121.1
! Formation energy from the elements, meV/atom: -144

---

No. 18
! NpCoSn2 (PBE, optimized geometry); values from VASP
&SYSTEM
  ibrav = 0, nat = 4, ntyp = 3
/
ATOMIC_SPECIES
Np 237.00 Np.upf
Co 58.93 Co.upf
Sn 118.71 Sn.upf
CELL_PARAMETERS angstrom
3.223 0.000 0.000
0.000 3.223 0.000
0.000 0.000 7.755
ATOMIC_POSITIONS crystal
Np 0.000 0.000 0.000
Co 0.000 0.000 0.500
Sn 0.500 0.500 0.301
Sn 0.500 0.500 0.699
! Calculated density, g/cm3: 11.0
! Symmetry: No. 123
! Formation energy from the elements, meV/atom: 45

---

No. 19
! MgInCl2 (PBE, optimized geometry); values from VASP
&SYSTEM
  ibrav = 0, nat = 4, ntyp = 3
/
ATOMIC_SPECIES
Mg 24.30 Mg.upf
In 114.82 In.upf
Cl 35.45 Cl.upf
CELL_PARAMETERS angstrom
0.000 3.685 3.685
3.685 0.000 3.685
3.685 3.685 0.000
ATOMIC_POSITIONS crystal
Mg 0.000 0.000 0.000
In 0.250 0.250 0.250
Cl 0.500 0.500 0.500
Cl 0.750 0.750 0.750
! E_form (uncorrected), meV/atom: -412
! Calculated density, g/cm3: 3.5
! Symmetry: No. 216
! Energy above the lowest structure with this stoichiometry, meV/atom: 818.9

---

No. 20
! CdSnPOs2 (PBE, optimized geometry); values from VASP
&SYSTEM
  ibrav = 0, nat = 5, ntyp = 4
/
ATOMIC_SPECIES
Cd 112.41 Cd.upf
Sn 118.71 Sn.upf
P 30.97 P.upf
Os 190.23 Os.upf
CELL_PARAMETERS angstrom
4.459 0.000 0.000
0.000 4.459 0.000
0.000 0.000 4.970
ATOMIC_POSITIONS crystal
Cd 0.000 0.000 0.000
Sn 0.500 0.500 0.000
P 0.000 0.000 0.500
Os 0.000 0.500 0.500
Os 0.500 0.000 0.500
! Calculated density, g/cm3: 10.8
! Symmetry: No. 123
! Formation energy from the elements, meV/atom: 827

---

No. 21
! ZrP2Au (PBE, optimized geometry); values from VASP
&SYSTEM
  ibrav = 0, nat = 4, ntyp = 3
/
ATOMIC_SPECIES
Zr 91.22 Zr.upf
P 30.97 P.upf
Au 196.97 Au.upf
CELL_PARAMETERS angstrom
3.475 0.000 0.000
0.000 3.517 0.000
0.000 0.000 5.940
ATOMIC_POSITIONS crystal
Zr 0.000 0.000 0.000
P 0.500 0.500 0.200
P 0.500 0.500 0.800
Au 0.000 0.000 0.500
! Calculated density, g/cm3: 8.0
! Symmetry: No. 47
! Energy above the lowest structure with this stoichiometry, meV/atom: 201.1
! Formation energy from the elements, meV/atom: -336

---

No. 22
! ErTmTh2As4 (PBE, optimized geometry); values from VASP
&SYSTEM
  ibrav = 0, nat = 8, ntyp = 4
/
ATOMIC_SPECIES
Er 167.26 Er.upf
Tm 168.93 Tm.upf
Th 232.04 Th.upf
As 74.92 As.upf
CELL_PARAMETERS angstrom
7.171 0.000 0.000
0.000 4.179 0.000
-2.443 0.000 6.815
ATOMIC_POSITIONS crystal
Er 0.000 0.000 0.000
Tm 0.000 0.500 0.500
Th 0.500 0.000 0.500
Th 0.500 0.500 0.000
As 0.238 0.000 0.745
As 0.239 0.500 0.247
As 0.761 0.500 0.753
As 0.762 0.000 0.255
! Calculated density, g/cm3: 8.9
! Symmetry: No. 10
! Formation energy from the elements, meV/atom: -1449

---

No. 23
! Ca2Zn2Fe (PBE, optimized geometry); values from VASP
&SYSTEM
  ibrav = 0, nat = 10, ntyp = 3
/
ATOMIC_SPECIES
Ca 40.08 Ca.upf
Zn 65.41 Zn.upf
Fe 55.84 Fe.upf
CELL_PARAMETERS angstrom
6.715 0.000 0.000
0.000 6.715 0.000
0.000 0.000 4.723
ATOMIC_POSITIONS crystal
Ca 0.180 0.320 0.000
Ca 0.320 0.820 0.000
Ca 0.680 0.180 0.000
Ca 0.820 0.680 0.000
Zn 0.142 0.642 0.500
Zn 0.358 0.142 0.500
Zn 0.642 0.858 0.500
Zn 0.858 0.358 0.500
Fe 0.000 0.000 0.500
Fe 0.500 0.500 0.500
! Calculated density, g/cm3: 4.2
! Symmetry: No. 127
! Formation energy from the elements, meV/atom: 227

---

No. 24
! Ta3Fe (PBE, optimized geometry); values from VASP
&SYSTEM
  ibrav = 0, nat = 4, ntyp = 2
/
ATOMIC_SPECIES
Ta 180.95 Ta.upf
Fe 55.84 Fe.upf
CELL_PARAMETERS angstrom
1.667 -2.295 0.000
1.667 2.295 0.000
0.000 0.000 8.631
ATOMIC_POSITIONS crystal
Ta 0.000 0.000 0.000
Ta 0.500 0.500 0.273
Ta 0.500 0.500 0.727
Fe 0.000 0.000 0.500
! Calculated density, g/cm3: 15.1
! Symmetry: No. 65
! Formation energy from the elements, meV/atom: 8

---

No. 25
! NiIr2Os (PBE, optimized geometry); values from VASP
&SYSTEM
  ibrav = 0, nat = 4, ntyp = 3
/
ATOMIC_SPECIES
Ni 58.69 Ni.upf
Ir 192.22 Ir.upf
Os 190.23 Os.upf
CELL_PARAMETERS angstrom
4.444 -1.354 0.000
4.444 1.354 0.000
-0.816 0.000 4.567
ATOMIC_POSITIONS crystal
Ni 0.000 0.000 0.000
Ir 0.250 0.250 0.762
Ir 0.500 0.500 0.488
Os 0.751 0.751 0.252
! Calculated density, g/cm3: 19.1
! Symmetry: No. 8
! Energy above the lowest structure with this stoichiometry, meV/atom: 55.3
! Formation energy from the elements, meV/atom: 60

---

No. 26
! PmFe2B4 (PBE, optimized geometry); values from VASP
&SYSTEM
  ibrav = 0, nat = 7, ntyp = 3
/
ATOMIC_SPECIES
Pm 145.00 Pm.upf
Fe 55.84 Fe.upf
B 10.81 B.upf
CELL_PARAMETERS angstrom
-1.537 1.651 7.189
1.537 -1.651 7.189
1.537 1.651 -7.189
ATOMIC_POSITIONS crystal
Pm 0.000 0.000 0.000
Fe 0.195 0.695 0.500
Fe 0.805 0.305 0.500
B 0.338 0.838 0.500
B 0.388 0.388 0.000
B 0.612 0.612 0.000
B 0.662 0.162 0.500
! Calculated density, g/cm3: 6.8
! Symmetry: No. 71
! Formation energy from the elements, meV/atom: -254

---

Number 1: VASP energy -19.296 eV per cell. Number 2: VASP energy -77.055 eV per cell. Number 3: VASP energy -15.294 eV per cell. Number 4: VASP energy -34.362 eV per cell. Number 5: VASP energy -54.258 eV per cell. Number 6: VASP energy -35.411 eV per cell. Number 7: VASP energy -96.146 eV per cell. Number 8: VASP energy -100.286 eV per cell. Number 9: VASP energy -51.443 eV per cell. Number 10: VASP energy -16.095 eV per cell. Number 11: VASP energy -16.528 eV per cell. Number 12: VASP energy -16.563 eV per cell. Number 13: VASP energy -26.977 eV per cell. Number 14: VASP energy -17.820 eV per cell. Number 15: VASP energy -26.452 eV per cell. Number 16: VASP energy -24.075 eV per cell. Number 17: VASP energy -19.127 eV per cell. Number 18: VASP energy -27.874 eV per cell. Number 19: VASP energy -9.674 eV per cell. Number 20: VASP energy -28.650 eV per cell. Number 21: VASP energy -23.991 eV per cell. Number 22: VASP energy -54.068 eV per cell. Number 23: VASP energy -27.762 eV per cell. Number 24: VASP energy -43.989 eV per cell. Number 25: VASP energy -34.492 eV per cell. Number 26: VASP energy -50.165 eV per cell.